Entry 1:
Below is a relaxed structure of RuWF2, with properties calculated at the PBE with a Hubbard U level.

a b c (Å): 4.2226 4.2226 4.2226
angles (deg): 60.00 60.00 60.00
Last column: nearest neighbours and their distance in Å.
Fractional positions:
Ru1 0.0000 0.0000 0.0000  8 F 2.59
W1 0.5000 0.5000 0.5000  8 F 2.59
F1 0.2500 0.2500 0.2500  4 W 2.59, 4 Ru 2.59
F2 0.7500 0.7500 0.7500  4 Ru 2.59, 4 W 2.59

Computed properties:
polymorph energy (0 for the lowest one): 733 meV per atom
D(E_F): 2.48 states/eV per cell
spin magnetization: 1.8 μB/f.u.
DFT total energy: -18.523 eV per cell

***

Entry 2:
Below is a relaxed structure of RuWF2, with properties calculated at the PBE with a Hubbard U level.

a b c (Å): 8.2792 8.2792 8.2792
angles (deg): 19.73 19.73 19.73
Last column: nearest neighbours and their distance in Å.
Fractional positions:
W1 0.5000 0.5000 0.5000  6 F 2.59, 6 W 2.84
Ru1 0.0000 0.0000 0.0000  2 F 2.05
F1 0.0840 0.0840 0.0840  1 Ru 2.05
F2 0.9160 0.9160 0.9160  1 Ru 2.05

Computed properties:
polymorph energy (0 for the lowest one): 110 meV per atom
D(E_F): 4.34 states/eV per cell
spin magnetization: 2.9 μB/f.u.
DFT total energy: -21.017 eV per cell

***

Entry 3:
Below is a relaxed structure of Zn2RuWF, with properties calculated at the PBE with a Hubbard U level.

a b c (Å): 4.8132 4.8207 4.8132
angles (deg): 90.00 90.00 90.00
Last column: nearest neighbours and their distance in Å.
Fractional positions:
Ru1 0.0000 0.0000 0.0000  4 Zn 2.41, 2 W 2.41
F1 0.5000 0.5000 0.5000  4 W 3.40, 8 Zn 3.41
W1 0.0000 0.5000 0.0000  2 Ru 2.41
Zn1 0.5000 0.0000 0.0000  2 Ru 2.41
Zn2 0.0000 0.0000 0.5000  2 Ru 2.41

Computed properties:
D(E_F): 1.79 states/eV per cell
spin magnetization: 2.3 μB/f.u.
DFT total energy: -17.987 eV per cell